Computed, not measured: Mg2MnBiO6 after structural relaxation at the PBE+U level of DFT.

Unit cell a=5.3006 b=5.3007 c=5.6510 alpha=62.02 beta=62.03 gamma=59.99
Last column: magnetic moment on the atom in μB.
Positions (direct):
O (0.4419, 0.7305, 0.7383)  -0.10
O (0.6443, 0.2032, 0.2664)  -0.14
Mg (0.0257, 0.0257, 0.9231)  0.00
O (0.0893, 0.4419, 0.7383)  -0.10
Mn (0.8193, 0.8193, 0.5421)  3.21
O (0.2032, 0.8860, 0.2664)  -0.14
O (0.7305, 0.0892, 0.7384)  -0.10
Mg (0.5150, 0.5150, 0.4550)  0.01
Bi (0.3064, 0.3064, 0.0807)  -0.05
O (0.8860, 0.6443, 0.2665)  -0.14

energy = -6.17 eV/atom
ρ = 5.9 g/cm3